DFT (GGA-PBE) results for crystalline LaH3Rh at its relaxed geometry.

Lattice parameters (Å, degrees): 3.771 3.837 4.887 97.31 112.67 90.01
Positions (direct):
La: 0.191 0.978 0.276
H: 0.710 0.443 0.313
H: 0.010 0.434 0.914
H: 0.346 0.534 0.585
Rh: 0.525 0.468 0.943

## Properties
theoretical density: 6290 kg/m³
energy: -24.7 eV/cell
space-group type: Cm
N(E_F): 1.4 states/eV/f.u.

***

DFT (GGA-PBE) results for crystalline LaH3Rh at its relaxed geometry.

Lattice parameters (Å, degrees): 4.285 4.285 4.285 90.00 90.00 90.00
Last column: magnetic moment on the atom in μB.
Positions (direct):
H: 0.000 0.500 0.000  0.01
H: 0.000 0.000 0.500  0.01
H: 0.500 0.000 0.000  0.01
Rh: 0.500 0.500 0.500  1.12
La: 0.000 0.000 0.000  -0.03

## Properties
theoretical density: 5167 kg/m³
energy: -19.6 eV/cell
space-group type: Pm-3m
N(E_F): 1.6 states/eV/f.u.

***

DFT (GGA-PBE) results for crystalline La8HRh5 at its relaxed geometry.

Lattice parameters (Å, degrees): 7.778 7.778 7.778 109.84 108.73 109.84
Positions (direct):
La: 0.131 0.749 0.983
La: 0.017 0.148 0.766
La: 0.717 0.239 0.357
La: 0.643 0.360 0.882
La: 0.522 0.640 0.283
La: 0.618 0.852 0.869
La: 0.234 0.251 0.382
La: 0.118 0.761 0.478
H: 0.250 0.500 0.750
Rh: 0.008 0.373 0.129
Rh: 0.871 0.879 0.244
Rh: 0.756 0.627 0.635
Rh: 0.500 0.000 0.500
Rh: 0.365 0.121 0.992

## Properties
theoretical density: 7458 kg/m³
energy: -88.6 eV/cell
space-group type: I-4
N(E_F): 6.8 states/eV/f.u.

***

DFT (GGA-PBE) results for crystalline LaH3Rh2 at its relaxed geometry.

Lattice parameters (Å, degrees): 5.443 5.482 5.482 100.65 90.00 90.00
Positions (direct):
La: 0.750 0.299 0.701
La: 0.250 0.701 0.299
H: 0.250 0.015 0.985
H: 0.250 0.593 0.733
H: 0.750 0.733 0.593
H: 0.250 0.267 0.407
H: 0.750 0.407 0.267
H: 0.750 0.985 0.015
Rh: 0.000 0.801 0.801
Rh: 0.500 0.801 0.801
Rh: 0.000 0.199 0.199
Rh: 0.500 0.199 0.199

## Properties
theoretical density: 7185 kg/m³
energy: -63.8 eV/cell
space-group type: Cmcm
N(E_F): 3.3 states/eV/f.u.

***

DFT (GGA-PBE) results for crystalline LaH3Rh at its relaxed geometry.

Lattice parameters (Å, degrees): 3.789 3.789 3.789 90.00 90.00 90.00
Positions (direct):
La: 0.000 0.000 0.000
H: 0.000 0.500 0.500
H: 0.500 0.500 0.000
H: 0.500 0.000 0.500
Rh: 0.500 0.500 0.500

## Properties
theoretical density: 7474 kg/m³
energy: -25.3 eV/cell
space-group type: Pm-3m
N(E_F): 0.9 states/eV/f.u.

***

DFT (GGA-PBE) results for crystalline LaH12Rh4 at its relaxed geometry.

Lattice parameters (Å, degrees): 5.985 5.985 5.985 109.47 109.47 109.47
Positions (direct):
La: 0.000 0.000 0.000
H: 0.730 0.266 0.995
H: 0.266 0.536 0.270
H: 0.005 0.270 0.734
H: 0.266 0.995 0.730
H: 0.995 0.730 0.266
H: 0.734 0.464 0.730
H: 0.536 0.270 0.266
H: 0.464 0.730 0.734
H: 0.734 0.005 0.270
H: 0.730 0.734 0.464
H: 0.270 0.266 0.536
H: 0.270 0.734 0.005
Rh: 0.000 0.500 0.000
Rh: 0.500 0.000 0.000
Rh: 0.500 0.500 0.500
Rh: 0.000 0.000 0.500

## Properties
theoretical density: 5661 kg/m³
energy: -76.9 eV/cell
space-group type: Im-3
N(E_F): 2.8 states/eV/f.u.

***

DFT (GGA-PBE) results for crystalline La2SbHRh6 at its relaxed geometry.

Lattice parameters (Å, degrees): 5.769 7.003 7.002 48.54 65.67 90.00
Positions (direct):
La: 0.730 0.272 0.539
La: 0.270 0.728 0.461
Sb: 0.000 0.000 0.000
H: 0.500 0.500 0.000
Rh: 0.276 0.230 0.447
Rh: 0.776 0.727 0.946
Rh: 0.277 0.727 0.947
Rh: 0.723 0.273 0.053
Rh: 0.224 0.273 0.054
Rh: 0.724 0.770 0.553

## Properties
theoretical density: 9546 kg/m³
energy: -66.8 eV/cell
space-group type: C2/m
N(E_F): 9.0 states/eV/f.u.

***

DFT (GGA-PBE) results for crystalline LaSbHRh at its relaxed geometry.

Lattice parameters (Å, degrees): 4.728 4.728 3.783 90.00 90.00 120.00
Positions (direct):
La: 0.572 0.144 0.310
Sb: 0.905 0.810 0.810
H: 0.239 0.477 0.310
Rh: 0.239 0.477 0.810

## Properties
theoretical density: 8268 kg/m³
energy: -23.2 eV/cell
space-group type: P-6m2
N(E_F): 2.1 states/eV/f.u.

***

DFT (GGA-PBE) results for crystalline La2SbHRh at its relaxed geometry.

Lattice parameters (Å, degrees): 5.323 5.323 3.903 90.00 90.00 90.00
Positions (direct):
Sb: 0.500 0.500 0.500
Rh: 0.000 0.000 0.500
H: 0.000 0.000 0.000
La: 0.000 0.500 0.000
La: 0.500 0.000 0.000

## Properties
theoretical density: 7560 kg/m³
energy: -28.3 eV/cell
space-group type: P4/mmm
N(E_F): 2.6 states/eV/f.u.

***

DFT (GGA-PBE) results for crystalline La2ScHRh at its relaxed geometry.

Lattice parameters (Å, degrees): 5.790 4.535 5.790 90.00 90.00 90.00
Positions (direct):
Sc: 0.000 0.000 0.000
H: 0.500 0.500 0.500
Rh: 0.000 0.500 0.000
La: 0.000 0.000 0.500
La: 0.500 0.000 0.000

## Properties
theoretical density: 4659 kg/m³
energy: -23.5 eV/cell
space-group type: P4/mmm
N(E_F): 4.4 states/eV/f.u.

***

DFT (GGA-PBE) results for crystalline LaScH2Rh at its relaxed geometry.

Lattice parameters (Å, degrees): 4.176 4.730 4.176 90.00 90.00 90.00
Positions (direct):
Sc: 0.000 0.500 0.000
H: 0.000 0.000 0.500
H: 0.500 0.000 0.000
Rh: 0.000 0.000 0.000
La: 0.500 0.500 0.500

## Properties
theoretical density: 5813 kg/m³
energy: -24.4 eV/cell
space-group type: P4/mmm
N(E_F): 3.1 states/eV/f.u.

***

DFT (GGA-PBE) results for crystalline LaSiHRh2 at its relaxed geometry.

Lattice parameters (Å, degrees): 3.889 5.883 7.126 90.00 90.00 109.30
Positions (direct):
La: 0.439 0.877 0.750
La: 0.561 0.123 0.250
Si: 0.718 0.436 0.750
Si: 0.282 0.564 0.250
H: 0.000 0.000 0.000
H: 0.000 0.000 0.500
Rh: 0.161 0.323 0.947
Rh: 0.839 0.677 0.053
Rh: 0.161 0.323 0.553
Rh: 0.839 0.677 0.447

## Properties
theoretical density: 8070 kg/m³
energy: -65.1 eV/cell
space-group type: Cmcm
N(E_F): 3.6 states/eV/f.u.

***

DFT (GGA-PBE) results for crystalline La2SiHRh at its relaxed geometry.

Lattice parameters (Å, degrees): 4.409 6.179 8.185 105.59 90.00 90.00
Positions (direct):
La: 0.750 0.772 0.585
La: 0.750 0.755 0.034
La: 0.250 0.228 0.415
La: 0.250 0.245 0.966
Si: 0.250 0.679 0.297
Si: 0.750 0.321 0.703
H: 0.250 0.825 0.834
H: 0.750 0.175 0.166
Rh: 0.250 0.529 0.761
Rh: 0.750 0.471 0.239

## Properties
theoretical density: 6337 kg/m³
energy: -59.3 eV/cell
space-group type: P2_1/m
N(E_F): 1.3 states/eV/f.u.

***

DFT (GGA-PBE) results for crystalline LaSmH6Rh2 at its relaxed geometry.

Lattice parameters (Å, degrees): 6.160 6.160 6.582 102.92 102.92 101.69
Positions (direct):
La: 0.151 0.849 0.250
La: 0.849 0.151 0.750
Sm: 0.596 0.404 0.250
Sm: 0.404 0.596 0.750
H: 0.925 0.427 0.114
H: 0.573 0.075 0.386
H: 0.075 0.573 0.886
H: 0.427 0.925 0.614
H: 0.214 0.166 0.023
H: 0.834 0.786 0.477
H: 0.786 0.834 0.977
H: 0.166 0.214 0.523
H: 0.311 0.543 0.377
H: 0.457 0.689 0.123
H: 0.689 0.457 0.623
H: 0.543 0.311 0.877
Rh: 0.323 0.064 0.814
Rh: 0.936 0.677 0.686
Rh: 0.677 0.936 0.186
Rh: 0.064 0.323 0.314

## Properties
theoretical density: 7275 kg/m³
energy: -100.3 eV/cell
space-group type: C2/c
N(E_F): 0.3 states/eV/f.u.

***

DFT (GGA-PBE) results for crystalline LaSmH8Rh2 at its relaxed geometry.

Lattice parameters (Å, degrees): 4.934 4.934 6.732 68.50 68.50 60.00
Positions (direct):
La: 0.500 0.500 0.500
Sm: 0.000 0.000 0.000
H: 0.180 0.180 0.461
H: 0.524 0.419 0.168
H: 0.820 0.820 0.539
H: 0.889 0.524 0.168
H: 0.111 0.476 0.832
H: 0.419 0.889 0.168
H: 0.581 0.111 0.832
H: 0.476 0.581 0.832
Rh: 0.268 0.268 0.196
Rh: 0.732 0.732 0.804

## Properties
theoretical density: 6498 kg/m³
energy: -55.0 eV/cell
space-group type: R-3
N(E_F): 2.6 states/eV/f.u.

***

DFT (GGA-PBE) results for crystalline La2SnHRh at its relaxed geometry.

Lattice parameters (Å, degrees): 5.231 5.231 4.021 90.00 90.00 90.00
Positions (direct):
H: 0.000 0.000 0.000
Rh: 0.000 0.000 0.500
Sn: 0.500 0.500 0.500
La: 0.000 0.500 0.000
La: 0.500 0.000 0.000

## Properties
theoretical density: 7554 kg/m³
energy: -27.5 eV/cell
space-group type: P4/mmm
N(E_F): 3.3 states/eV/f.u.

***

DFT (GGA-PBE) results for crystalline La2SnHRh6 at its relaxed geometry.

Lattice parameters (Å, degrees): 5.720 7.106 7.107 47.46 66.27 90.00
Positions (direct):
La: 0.730 0.270 0.540
La: 0.270 0.730 0.460
Sn: 0.000 0.000 0.000
H: 0.500 0.500 0.000
Rh: 0.275 0.220 0.450
Rh: 0.781 0.725 0.944
Rh: 0.275 0.725 0.944
Rh: 0.725 0.275 0.056
Rh: 0.219 0.275 0.056
Rh: 0.725 0.780 0.550

## Properties
theoretical density: 9453 kg/m³
energy: -66.2 eV/cell
space-group type: R-3m
N(E_F): 7.6 states/eV/f.u.

***

DFT (GGA-PBE) results for crystalline LaSnHRh2 at its relaxed geometry.

Lattice parameters (Å, degrees): 5.094 5.094 3.900 90.00 90.00 90.00
Positions (direct):
H: 0.000 0.000 0.500
Rh: 0.000 0.500 0.000
Rh: 0.500 0.000 0.000
Sn: 0.500 0.500 0.500
La: 0.000 0.000 0.000

## Properties
theoretical density: 7620 kg/m³
energy: -25.3 eV/cell
ΔE to the lowest computed polymorph: 0.9696 eV per atom
space-group type: P4/mmm
N(E_F): 3.4 states/eV/f.u.

***

DFT (GGA-PBE) results for crystalline LaSnH8Rh2 at its relaxed geometry.

Lattice parameters (Å, degrees): 4.968 4.968 6.510 67.57 67.57 60.00
Positions (direct):
La: 0.500 0.500 0.500
Sn: 0.000 0.000 0.000
H: 0.190 0.190 0.429
H: 0.481 0.470 0.157
H: 0.810 0.810 0.571
H: 0.892 0.481 0.157
H: 0.108 0.519 0.843
H: 0.470 0.892 0.157
H: 0.530 0.108 0.843
H: 0.519 0.530 0.843
Rh: 0.285 0.285 0.145
Rh: 0.715 0.715 0.855

## Properties
theoretical density: 6267 kg/m³
energy: -51.6 eV/cell
space-group type: R-3
N(E_F): 1.4 states/eV/f.u.

***

DFT (GGA-PBE) results for crystalline LaSnHRh2 at its relaxed geometry.

Lattice parameters (Å, degrees): 4.144 6.156 7.382 90.00 90.00 109.67
Positions (direct):
La: 0.434 0.869 0.750
La: 0.566 0.131 0.250
Sn: 0.715 0.429 0.750
Sn: 0.285 0.571 0.250
H: 0.000 0.000 0.000
H: 0.000 0.000 0.500
Rh: 0.149 0.298 0.953
Rh: 0.851 0.702 0.047
Rh: 0.149 0.298 0.547
Rh: 0.851 0.702 0.453

## Properties
theoretical density: 8698 kg/m³
energy: -60.4 eV/cell
ΔE to the lowest computed polymorph: 0.0000 eV per atom
space-group type: Cmcm
N(E_F): 3.3 states/eV/f.u.

***

DFT (GGA-PBE) results for crystalline SrLaHRh2 at its relaxed geometry.

Lattice parameters (Å, degrees): 4.831 7.400 4.831 90.00 90.00 90.00
Positions (direct):
Sr: 0.000 0.500 0.000
Rh: 0.000 0.000 0.500
Rh: 0.500 0.000 0.000
H: 0.500 0.500 0.500
La: 0.000 0.000 0.000

## Properties
theoretical density: 4166 kg/m³
energy: -20.6 eV/cell
space-group type: P4/mmm
N(E_F): 1.3 states/eV/f.u.

***

DFT (GGA-PBE) results for crystalline SrLaH8Rh2 at its relaxed geometry.

Lattice parameters (Å, degrees): 4.922 4.922 7.008 69.44 69.44 60.00
Positions (direct):
Sr: 0.000 0.000 0.000
La: 0.500 0.500 0.500
H: 0.130 0.130 0.610
H: 0.427 0.427 0.187
H: 0.870 0.870 0.390
H: 0.959 0.427 0.187
H: 0.041 0.573 0.813
H: 0.427 0.959 0.187
H: 0.573 0.041 0.813
H: 0.573 0.573 0.813
Rh: 0.218 0.218 0.347
Rh: 0.782 0.782 0.653

## Properties
theoretical density: 5441 kg/m³
energy: -51.8 eV/cell
space-group type: R-3m
N(E_F): 4.8 states/eV/f.u.

***

DFT (GGA-PBE) results for crystalline La2TbH12Rh3 at its relaxed geometry.

Lattice parameters (Å, degrees): 6.145 6.145 6.145 65.70 65.70 65.70
Last column: magnetic moment on the atom in μB.
Positions (direct):
La: 0.614 0.614 0.614  -0.18
La: 0.386 0.386 0.386  -0.18
Tb: 0.000 0.000 0.000  -0.04
H: 0.289 0.289 0.884  0.00
H: 0.868 0.868 0.412  0.00
H: 0.412 0.868 0.868  0.00
H: 0.884 0.289 0.289  0.00
H: 0.868 0.412 0.868  0.00
H: 0.289 0.884 0.289  0.00
H: 0.711 0.711 0.116  0.00
H: 0.132 0.132 0.588  0.00
H: 0.588 0.132 0.132  0.00
H: 0.116 0.711 0.711  0.00
H: 0.132 0.588 0.132  0.00
H: 0.711 0.116 0.711  0.00
Rh: 0.500 0.000 0.000  -0.02
Rh: 0.000 0.500 0.000  -0.02
Rh: 0.000 0.000 0.500  -0.02

## Properties
theoretical density: 6824 kg/m³
energy: -84.1 eV/cell
space-group type: R-3m
N(E_F): 7.3 states/eV/f.u.